Record 1
The following is a PBE-GGA calculation of a relaxed K4Rb2TlPb2 crystal, from Alexandria.

Lattice parameters (Å, degrees): 6.396 9.179 9.179 58.59 76.53 76.53
Sites, in units of the cell vectors:
K 0.180 0.649 0.087
K 0.180 0.087 0.649
K 0.820 0.913 0.351
K 0.820 0.351 0.913
Rb 0.689 0.359 0.359
Rb 0.311 0.641 0.641
Pb 0.721 0.815 0.815
Pb 0.279 0.185 0.185
Tl 0.500 0.000 0.000

## Properties
Energy relative to the elements (meV per atom): -75.2

=====

Record 2
The following is a PBE-GGA calculation of a relaxed Ac7GePb4 crystal, from Alexandria.

Lattice parameters (Å, degrees): 6.200 9.850 8.971 66.69 69.78 71.66
Sites, in units of the cell vectors:
Pb 0.259 0.283 0.198
Pb 0.570 0.246 0.613
Pb 0.430 0.754 0.387
Pb 0.741 0.717 0.802
Ac 0.948 0.333 0.770
Ac 0.326 0.555 0.792
Ac 0.500 0.000 0.000
Ac 0.674 0.445 0.208
Ac 0.820 0.982 0.377
Ac 0.180 0.018 0.623
Ac 0.052 0.667 0.230
Ge 0.000 0.000 0.000

## Properties
Energy relative to the elements (meV per atom): -387.2

=====

Record 3
The following is a PBE-GGA calculation of a relaxed Ce4Sb3 crystal, from Alexandria.

Lattice parameters (Å, degrees): 5.397 5.397 9.414 73.34 73.34 60.00
Sites, in units of the cell vectors:
Sb 0.759 0.759 0.722
Sb 0.000 0.000 0.000
Sb 0.241 0.241 0.278
Ce 0.631 0.631 0.108
Ce 0.369 0.369 0.892
Ce 0.881 0.881 0.358
Ce 0.119 0.119 0.642

## Properties
Energy relative to the elements, uncorrected (eV per formula unit): -5.09
Energy above the lowest structure with this stoichiometry (meV per atom): 188

=====

Record 4
The following is a PBE-GGA calculation of a relaxed K2Na5Br3O2 crystal, from Alexandria.

Lattice parameters (Å, degrees): 4.664 4.664 13.472 99.97 99.97 90.00
Sites, in units of the cell vectors:
O 0.588 0.588 0.175
O 0.412 0.412 0.825
Na 0.087 0.587 0.175
Na 0.913 0.413 0.825
Na 0.413 0.913 0.825
Na 0.500 0.500 0.000
Na 0.587 0.087 0.175
Br 0.000 0.000 0.000
Br 0.820 0.820 0.640
Br 0.180 0.180 0.360
K 0.688 0.688 0.376
K 0.312 0.312 0.624

## Properties
Energy relative to the elements, uncorrected (eV per formula unit): -17.24

=====

Record 5
The following is a PBE-GGA calculation of a relaxed ZrAg3 crystal, from Alexandria.

Lattice parameters (Å, degrees): 5.218 5.218 2.926 90.00 90.00 104.73
Sites, in units of the cell vectors:
Ag 0.000 0.000 0.000
Ag 0.500 0.000 0.500
Ag 0.000 0.500 0.500
Zr 0.500 0.500 0.000

## Properties
Energy relative to the elements (meV per atom): 98.6

=====

Record 6
The following is a PBE-GGA calculation of a relaxed CaRh3Pb3 crystal, from Alexandria.

Lattice parameters (Å, degrees): 7.410 7.410 7.410 90.00 90.00 90.00
Sites, in units of the cell vectors:
Ca 0.000 0.000 0.000
Ca 0.500 0.500 0.500
Rh 0.500 0.000 0.250
Rh 0.500 0.000 0.750
Rh 0.750 0.500 0.000
Rh 0.000 0.250 0.500
Rh 0.250 0.500 0.000
Rh 0.000 0.750 0.500
Pb 0.000 0.500 0.250
Pb 0.250 0.000 0.500
Pb 0.000 0.500 0.750
Pb 0.500 0.250 0.000
Pb 0.500 0.750 0.000
Pb 0.750 0.000 0.500

## Properties
Energy above the lowest structure with this stoichiometry (meV per atom): 341
Energy relative to the elements (meV per atom): 236.5

=====

Record 7
The following is a PBE-GGA calculation of a relaxed Ge2WC crystal, from Alexandria.

Lattice parameters (Å, degrees): 6.178 6.178 5.284 54.23 54.23 90.00
Sites, in units of the cell vectors:
W 0.750 0.250 0.500
W 0.000 0.000 0.000
Ge 0.375 0.454 0.750
Ge 0.875 0.796 0.750
Ge 0.204 0.625 0.250
Ge 0.546 0.125 0.250
C 0.250 0.750 0.500
C 0.500 0.500 0.000

## Properties
Energy relative to the elements (meV per atom): 1109.4

=====

Record 8
The following is a PBE-GGA calculation of a relaxed Ac3Si2Br3 crystal, from Alexandria.

Lattice parameters (Å, degrees): 6.198 9.430 9.430 120.00 90.00 90.00
Sites, in units of the cell vectors:
Ac 0.750 0.381 0.381
Ac 0.250 0.619 0.619
Ac 0.750 0.619 0.000
Ac 0.750 0.000 0.619
Ac 0.250 0.381 0.000
Ac 0.250 0.000 0.381
Si 0.000 0.667 0.333
Si 0.500 0.667 0.333
Si 0.000 0.333 0.667
Si 0.500 0.333 0.667
Br 0.750 0.244 0.000
Br 0.750 0.000 0.244
Br 0.250 0.244 0.244
Br 0.750 0.756 0.756
Br 0.250 0.000 0.756
Br 0.250 0.756 0.000

## Properties
Energy relative to the elements, uncorrected (eV per formula unit): -9.60